No. 1
A relaxed structure of ZnHg2Rh, computed with PBE.

a b c (Å): 5.4250 5.4250 5.4250
angles (deg): 141.01 132.95 62.70
Fractional positions:
Zn: 0.0000 0.0000 0.0000
Hg: 0.4611 0.4611 0.0000
Hg: 0.7352 0.2352 0.5000
Rh: 0.1998 0.6998 0.5000

final energy: -2.2544 eV per atom
formation enthalpy at 0 K: 0.05 eV/atom

No. 2
A relaxed structure of TbSm4Er2Th, computed with PBE.

a b c (Å): 5.0600 5.0600 10.1710
angles (deg): 90.00 90.00 90.00
Fractional positions:
Tb: 0.0000 0.0000 0.0000
Sm: 0.0000 0.5000 0.2515
Sm: 0.0000 0.5000 0.7485
Sm: 0.5000 0.0000 0.2515
Sm: 0.5000 0.0000 0.7485
Er: 0.0000 0.0000 0.5000
Er: 0.5000 0.5000 0.0000
Th: 0.5000 0.5000 0.5000

final energy: -4.9763 eV per atom
formation enthalpy at 0 K: 0.03 eV/atom

What is the final energy in the first record? -2.2544 eV per atom